*i*
Crystalline MgGaP at its relaxed geometry. Source: Alexandria via LeMat-Bulk, functional GGA-PBE.

The space group is Cmcm (No. 63) and the conventional cell measures 3.627, 15.456 and 4.175 Å, with angles of 90.00, 90.00 and 90.00 degrees. The inequivalent atoms are Mg at (0.000, 0.179, 0.250), Ga at (0.000, 0.044, 0.750) and P at (0.000, 0.349, 0.250).

As for the volume: 58.5 Å³/f.u.

*ii*
Crystalline MgGaP at its relaxed geometry. Source: Alexandria via LeMat-Bulk, functional GGA-PBE.

The space group is C222_1 (No. 20) and the conventional cell measures 4.344, 12.235 and 4.510 Å, with angles of 90.00, 90.00 and 90.00 degrees. The inequivalent atoms are Mg at (0.000, 0.237, 0.250), Ga at (0.142, 0.500, 0.000) and P at (0.000, 0.140, 0.750).

As for the volume: 59.9 Å³/f.u.

Which is most stable? The ranking, best first, is *i*, *ii*.

*i*
Crystalline MgGaP at its relaxed geometry. Source: Alexandria via LeMat-Bulk, functional GGA-PBE.

The space group is R-3m (No. 166, hexagonal axes) and the conventional cell measures 4.2903, 4.2903 and 26.7719 Å, with angles of 90.00, 90.00 and 120.00 degrees. The inequivalent atoms are Mg at (0.0000, 0.0000, 0.1247), Ga at (0.0000, 0.0000, 0.3124) and P at (0.0000, 0.0000, 0.2262).

As for the volume: 71.1 Å³/f.u.

*ii*
Crystalline MgGaP at its relaxed geometry. Source: Alexandria via LeMat-Bulk, functional GGA-PBE.

The space group is Cmc2_1 (No. 36) and the conventional cell measures 3.943, 13.662 and 4.752 Å, with angles of 90.00, 90.00 and 90.00 degrees. The inequivalent atoms are Mg at (0.000, 0.218, 0.000), Ga at (0.000, 0.464, 0.003) and P at (0.000, 0.152, 0.500).

As for the volume: 64.0 Å³/f.u.

Which is most stable? The ranking, best first, is *ii*, *i*.

*i*
Crystalline MgGaP at its relaxed geometry. Source: Alexandria via LeMat-Bulk, functional GGA-PBE.

The space group is C2 (No. 5) and the conventional cell measures 7.671, 4.535 and 7.726 Å, with angles of 90.00, 109.02 and 90.00 degrees. The inequivalent atoms are Mg at (0.237, 0.000, 0.150), Ga at (0.193, 0.946, 0.518) and P at (0.087, 0.002, 0.786).

As for the volume: 63.5 Å³/f.u.

*ii*
Crystalline MgGaP at its relaxed geometry. Source: Alexandria via LeMat-Bulk, functional GGA-PBE.

The space group is Pmmn (No. 59, origin choice 2) and the conventional cell measures 3.592, 3.789 and 8.650 Å, with angles of 90.00, 90.00 and 90.00 degrees. The inequivalent atoms are Mg at (0.250, 0.250, 0.137), Ga at (0.250, 0.250, 0.555) and P at (0.250, 0.250, 0.826).

As for the volume: 58.9 Å³/f.u.

Which is most stable? The ranking, best first, is *i*, *ii*.

*i*
Crystalline MgGa3P at its relaxed geometry. Source: Alexandria via LeMat-Bulk, functional GGA-PBE.

The space group is Pm-3m (No. 221) and the conventional cell measures 5.014, 5.014 and 5.014 Å, with angles of 90.00, 90.00 and 90.00 degrees. The inequivalent atoms are Mg at (0.000, 0.000, 0.000), Ga at (0.000, 0.000, 0.500) and P at (0.500, 0.500, 0.500).

As for the volume: 126.0 Å³/f.u.

*ii*
Crystalline MgGa3P at its relaxed geometry. Source: Alexandria via LeMat-Bulk, functional GGA-PBE.

The space group is Pm-3m (No. 221) and the conventional cell measures 4.849, 4.849 and 4.849 Å, with angles of 90.00, 90.00 and 90.00 degrees. The inequivalent atoms are Mg at (0.000, 0.000, 0.000), Ga at (0.000, 0.500, 0.500) and P at (0.500, 0.500, 0.500).

As for the volume: 114.0 Å³/f.u.

Which is most stable? The ranking, best first, is *ii*, *i*.

*i*
Crystalline Mg3GaP at its relaxed geometry. Source: Alexandria via LeMat-Bulk, functional GGA-PBE.

The space group is Pm-3m (No. 221) and the conventional cell measures 4.946, 4.946 and 4.946 Å, with angles of 90.00, 90.00 and 90.00 degrees. The inequivalent atoms are Mg at (0.000, 0.000, 0.500), Ga at (0.000, 0.000, 0.000) and P at (0.500, 0.500, 0.500).

As for the volume: 121.0 Å³/f.u.

*ii*
Crystalline Mg3GaP at its relaxed geometry. Source: Alexandria via LeMat-Bulk, functional GGA-PBE.

The space group is Pm-3m (No. 221) and the conventional cell measures 4.886, 4.886 and 4.886 Å, with angles of 90.00, 90.00 and 90.00 degrees. The inequivalent atoms are Mg at (0.000, 0.000, 0.500), Ga at (0.500, 0.500, 0.500) and P at (0.000, 0.000, 0.000).

As for the volume: 116.6 Å³/f.u.

Which is most stable? The ranking, best first, is *ii*, *i*.

*i*
Crystalline MgPa2Ga at its relaxed geometry. Source: Alexandria via LeMat-Bulk, functional GGA-PBE.

The space group is P4/mmm (No. 123) and the conventional cell measures 4.292, 4.292 and 4.778 Å, with angles of 90.00, 90.00 and 90.00 degrees. The inequivalent atoms are Mg at (0.000, 0.000, 0.000), Pa at (0.000, 0.500, 0.500) and Ga at (0.500, 0.500, 0.000).

As for the volume: 88.0 Å³/f.u.

*ii*
Crystalline MgPa2Ga at its relaxed geometry. Source: Alexandria via LeMat-Bulk, functional GGA-PBE.

The space group is R-3m (No. 166, hexagonal axes) and the conventional cell measures 3.0929, 3.0929 and 34.7785 Å, with angles of 90.00, 90.00 and 120.00 degrees. The inequivalent atoms are Mg at (0.0000, 0.0000, 0.0000), Pa at (0.0000, 0.0000, 0.0932) and Ga at (0.0000, 0.0000, 0.5000).

As for the volume: 96.0 Å³/f.u.

Which is most stable? The ranking, best first, is *i*, *ii*.

*i*
Crystalline MgPaGaSn at its relaxed geometry. Source: Alexandria via LeMat-Bulk, functional GGA-PBE.

The space group is F-43m (No. 216) and the conventional cell measures 7.170, 7.170 and 7.170 Å, with angles of 90.00, 90.00 and 90.00 degrees. The inequivalent atoms are Mg at (0.000, 0.000, 0.000), Pa at (0.000, 0.000, 0.500), Ga at (0.250, 0.250, 0.750) and Sn at (0.250, 0.250, 0.250).

As for the volume: 92.2 Å³/f.u.

*ii*
Crystalline MgPaGaSn at its relaxed geometry. Source: Alexandria via LeMat-Bulk, functional GGA-PBE.

The space group is Pmmm (No. 47) and the conventional cell measures 4.274, 4.541 and 4.695 Å, with angles of 90.00, 90.00 and 90.00 degrees. The inequivalent atoms are Mg at (0.000, 0.000, 0.000), Pa at (0.000, 0.500, 0.500), Ga at (0.500, 0.000, 0.500) and Sn at (0.500, 0.500, 0.000).

As for the volume: 91.1 Å³/f.u.

Which is most stable? The ranking, best first, is *ii*, *i*.

*i*
Crystalline MgGa2Pb2 at its relaxed geometry. Source: Alexandria via LeMat-Bulk, functional GGA-PBE.

The space group is P4/mbm (No. 127) and the conventional cell measures 8.383, 8.383 and 3.749 Å, with angles of 90.00, 90.00 and 90.00 degrees. The inequivalent atoms are Mg at (0.000, 0.000, 0.000), Ga at (0.145, 0.355, 0.500) and Pb at (0.151, 0.651, 0.000).

As for the volume: 131.7 Å³/f.u.

*ii*
Crystalline MgGa2Pb2 at its relaxed geometry. Source: Alexandria via LeMat-Bulk, functional GGA-PBE.

The space group is P4/mbm (No. 127) and the conventional cell measures 7.416, 7.416 and 4.566 Å, with angles of 90.00, 90.00 and 90.00 degrees. The inequivalent atoms are Mg at (0.000, 0.000, 0.000), Ga at (0.126, 0.374, 0.000) and Pb at (0.179, 0.679, 0.500).

As for the volume: 125.5 Å³/f.u.

Which is most stable? The ranking, best first, is *ii*, *i*.